{"formula": "Ti3Hg5O12", "functional": "PBE", "state": "optimized geometry", "lattice": [[-6.394, 6.394, 6.394], [6.394, -6.394, 6.394], [6.394, 6.394, -6.394]], "species": ["Ti", "Ti", "Ti", "Ti", "Ti", "Ti", "Ti", "Ti", "Ti", "Ti", "Ti", "Ti", "Hg", "Hg", "Hg", "Hg", "Hg", "Hg", "Hg", "Hg", "Hg", "Hg", "Hg", "Hg", "Hg", "Hg", "Hg", "Hg", "Hg", "Hg", "Hg", "Hg", "O", "O", "O", "O", "O", "O", "O", "O", "O", "O", "O", "O", "O", "O", "O", "O", "O", "O", "O", "O", "O", "O", "O", "O", "O", "O", "O", "O", "O", "O", "O", "O", "O", "O", "O", "O", "O", "O", "O", "O", "O", "O", "O", "O", "O", "O", "O", "O"], "frac_coords": [[0.125, 0.250, 0.375], [0.125, 0.375, 0.750], [0.250, 0.375, 0.125], [0.250, 0.875, 0.625], [0.375, 0.125, 0.250], [0.375, 0.750, 0.125], [0.625, 0.250, 0.875], [0.625, 0.875, 0.750], [0.750, 0.125, 0.375], [0.750, 0.625, 0.875], [0.875, 0.625, 0.250], [0.875, 0.750, 0.625], [0.000, 0.000, 0.000], [0.000, 0.000, 0.500], [0.000, 0.500, 0.000], [0.000, 0.500, 0.500], [0.125, 0.750, 0.875], [0.125, 0.875, 0.250], [0.250, 0.125, 0.875], [0.250, 0.625, 0.375], [0.375, 0.250, 0.625], [0.375, 0.625, 0.750], [0.500, 0.000, 0.000], [0.500, 0.000, 0.500], [0.500, 0.500, 0.000], [0.500, 0.500, 0.500], [0.625, 0.375, 0.250], [0.625, 0.750, 0.375], [0.750, 0.375, 0.625], [0.750, 0.875, 0.125], [0.875, 0.125, 0.750], [0.875, 0.250, 0.125], [0.059, 0.635, 0.391], [0.059, 0.924, 0.668], [0.076, 0.244, 0.135], [0.076, 0.332, 0.941], [0.109, 0.744, 0.668], [0.109, 0.865, 0.441], [0.135, 0.076, 0.244], [0.135, 0.559, 0.891], [0.168, 0.244, 0.609], [0.168, 0.424, 0.559], [0.244, 0.135, 0.076], [0.244, 0.609, 0.168], [0.256, 0.332, 0.891], [0.256, 0.424, 0.365], [0.332, 0.891, 0.256], [0.332, 0.941, 0.076], [0.365, 0.256, 0.424], [0.365, 0.609, 0.941], [0.391, 0.059, 0.635], [0.391, 0.832, 0.756], [0.424, 0.365, 0.256], [0.424, 0.559, 0.168], [0.441, 0.109, 0.865], [0.441, 0.832, 0.576], [0.559, 0.168, 0.424], [0.559, 0.891, 0.135], [0.576, 0.441, 0.832], [0.576, 0.635, 0.744], [0.609, 0.168, 0.244], [0.609, 0.941, 0.365], [0.635, 0.391, 0.059], [0.635, 0.744, 0.576], [0.668, 0.059, 0.924], [0.668, 0.109, 0.744], [0.744, 0.576, 0.635], [0.744, 0.668, 0.109], [0.756, 0.391, 0.832], [0.756, 0.865, 0.924], [0.832, 0.576, 0.441], [0.832, 0.756, 0.391], [0.865, 0.441, 0.109], [0.865, 0.924, 0.756], [0.891, 0.135, 0.559], [0.891, 0.256, 0.332], [0.924, 0.668, 0.059], [0.924, 0.756, 0.865], [0.941, 0.076, 0.332], [0.941, 0.365, 0.609]], "n_ef_per_ev_atom": 0.4367, "spacegroup": "Ia-3d, No. 230", "magmom_total_mub_per_cell": 0.0, "total_energy_ha_per_atom": -0.1882, "formation_energy_uncorrected_ev_per_atom": -0.89}

{"formula": "TiHgO2", "functional": "PBE", "state": "optimized geometry", "lattice": [[3.017, 0.000, 0.000], [-1.508, 2.613, 0.000], [0.000, 0.000, 24.800]], "species": ["Ti", "Ti", "Ti", "Hg", "Hg", "Hg", "O", "O", "O", "O", "O", "O"], "frac_coords": [[0.000, 0.000, 0.000], [0.333, 0.667, 0.667], [0.667, 0.333, 0.333], [0.000, 0.000, 0.500], [0.333, 0.667, 0.167], [0.667, 0.333, 0.833], [0.000, 0.000, 0.373], [0.000, 0.000, 0.627], [0.333, 0.667, 0.040], [0.333, 0.667, 0.294], [0.667, 0.333, 0.706], [0.667, 0.333, 0.960]], "n_ef_per_ev_atom": 0.4078, "spacegroup": "R-3m, No. 166", "magmom_total_mub_per_cell": 0.0, "total_energy_ha_per_atom": -0.2450, "formation_energy_uncorrected_ev_per_atom": -2.14}

{"formula": "UTi2HgO8", "functional": "PBE", "state": "optimized geometry", "lattice": [[5.986, 0.000, 0.000], [-2.993, 5.184, 0.000], [0.000, 0.000, 6.357]], "species": ["U", "Ti", "Ti", "Hg", "O", "O", "O", "O", "O", "O", "O", "O"], "frac_coords": [[0.000, 0.000, 0.000], [0.333, 0.667, 0.700], [0.667, 0.333, 0.300], [0.000, 0.000, 0.500], [0.158, 0.316, 0.796], [0.158, 0.842, 0.796], [0.316, 0.158, 0.204], [0.333, 0.667, 0.438], [0.667, 0.333, 0.562], [0.684, 0.842, 0.796], [0.842, 0.158, 0.204], [0.842, 0.684, 0.204]], "spacegroup": "P-3m1, No. 164", "magmom_total_mub_per_cell": 0.0, "total_energy_ha_per_atom": -0.2930, "formation_energy_uncorrected_ev_per_atom": -2.39}